--- A ---
A relaxed AcScPt2 crystal. Source: Alexandria, functional PBE.

POSCAR file:
```
AcScPt2
1.0
5.0569 0.0000 0.0000
2.5285 4.3794 0.0000
2.5285 1.4598 4.1290
Ac Pt Sc
1 2 1
Cartesian
0.0000 0.0000 0.0000
2.5285 1.4598 1.0322
7.5854 4.3794 3.0967
5.0569 2.9196 2.0645
```

Calculated values
**Total moment**: 0.00 μB/atom
**Crystal system**: cubic



--- B ---
A relaxed AcScPt2 crystal. Source: Alexandria, functional PBE.

POSCAR file:
```
AcScPt2
1.0
3.4819 0.0000 0.0000
0.0000 3.4819 0.0000
0.0000 0.0000 7.3027
Ac Pt Sc
1 2 1
Cartesian
1.7409 1.7409 3.6513
0.0000 0.0000 5.8220
0.0000 0.0000 1.4807
1.7409 1.7409 0.0000
```

Calculated values
**Total moment**: 0.00 μB/atom
**Crystal system**: tetragonal



Which structure is the least stable? The one labeled A.



--- A ---
A relaxed AcScPt crystal. Source: Alexandria, functional PBE.

POSCAR file:
```
AcScPt
1.0
-4.2926 0.4404 -2.5554
0.8851 -3.8151 -2.1442
-2.2892 -0.0725 3.8328
Ac Pt Sc
1 1 1
Cartesian
-3.1855 -2.2585 -1.9452
-0.4297 0.0441 -0.2558
-2.0815 -1.2328 1.3342
```

Calculated values
**Total moment**: 0.00 μB/atom
**Crystal system**: trigonal



--- B ---
A relaxed AcScPt crystal. Source: Alexandria, functional PBE.

POSCAR file:
```
AcScPt
1.0
-0.2210 -4.3932 -1.7278
-1.2466 -1.6140 4.2633
-6.8739 0.9891 -1.6355
Sc Pt Ac
2 2 2
Cartesian
-3.4370 0.4945 -0.8177
-4.1708 -2.5091 0.4500
-4.9200 -1.5046 -2.0082
-2.6877 -0.5099 1.6405
-0.9867 -2.0706 -1.0724
-6.6211 0.0560 0.7046
```

Calculated values
**Total moment**: 0.00 μB/atom
**Crystal system**: tetragonal



Which structure is the least stable? The one labeled A.



--- A ---
A relaxed AcSiPt3 crystal. Source: Alexandria, functional PBE.

POSCAR file:
```
AcSiPt3
1.0
-3.8568 -1.3254 -1.1135
-0.6235 -1.4699 3.9143
-4.3485 3.4651 2.8960
Pt Si Ac
3 1 1
Cartesian
-3.8623 -1.7123 1.7358
-2.6749 0.6588 2.8200
-4.9167 -0.7388 4.2178
-3.4512 0.9915 5.1047
-5.6443 2.3944 2.9997
```

Calculated values
**Total moment**: 0.00 μB/atom
**Crystal system**: tetragonal



--- B ---
A relaxed AcSiPt3 crystal. Source: Alexandria, functional PBE.

POSCAR file:
```
AcSiPt3
1.0
-2.6686 2.6621 2.8615
-3.0045 0.8187 -3.5636
-2.4996 -3.8262 1.2284
Pt Si Ac
3 1 1
Cartesian
-1.2498 -1.9131 0.6142
-1.3343 1.3310 1.4308
-1.5023 0.4094 -1.7818
0.0000 0.0000 0.0000
-4.0864 -0.1727 0.2632
```

Calculated values
**Total moment**: 0.00 μB/atom
**Crystal system**: cubic



Which structure is the least stable? The one labeled B.



--- A ---
A relaxed Ac2Si2Pt crystal. Source: Alexandria, functional PBE.

POSCAR file:
```
Ac2Si2Pt
1.0
-2.3360 0.1790 -3.7438
3.6054 -0.3414 -2.2660
-2.3977 -6.4698 1.1867
Si Ac Pt
2 2 1
Cartesian
-1.5370 -4.0282 -1.8386
0.6284 -0.1513 -3.0043
1.2873 -5.9230 -1.0864
1.5835 -2.6174 -1.1132
-1.2982 -1.3637 -1.8601
```

Calculated values
**Total moment**: 0.00 μB/atom
**Crystal system**: orthorhombic



--- B ---
A relaxed Ac2Si2Pt crystal. Source: Alexandria, functional PBE.

POSCAR file:
```
Ac2Si2Pt
1.0
4.4333 0.0000 0.0000
2.2167 5.7886 -0.0473
2.2167 0.8184 10.0364
Ac Si Pt
4 4 2
Cartesian
6.6500 2.5649 9.0217
2.2167 4.0422 0.9675
4.4333 5.0654 6.4294
4.4333 1.5416 3.5597
6.6500 6.0083 8.8794
2.2167 2.4703 5.8655
6.6500 4.1367 4.1237
2.2167 0.5988 1.1097
4.4333 4.8154 3.1031
4.4333 1.7917 6.8861
```

Calculated values
**Total moment**: 0.00 μB/atom
**Crystal system**: monoclinic



Which structure is the least stable? The one labeled A.



--- A ---
A relaxed AcSi2Pt crystal. Source: Alexandria, functional PBE.

POSCAR file:
```
AcSi2Pt
1.0
-3.7659 -1.3154 1.2237
-2.2989 -2.3943 -2.5351
0.3013 -5.8231 1.7812
Ac Si Pt
1 2 1
Cartesian
-1.8830 -0.6577 0.6119
-2.7191 -5.9405 -0.5264
-3.0445 -3.5924 0.9963
-0.9988 -4.1087 -0.3769
```

Calculated values
**Total moment**: 0.00 μB/atom
**Crystal system**: trigonal



--- B ---
A relaxed AcSi2Pt crystal. Source: Alexandria, functional PBE.

POSCAR file:
```
AcSi2Pt
1.0
4.4477 0.0000 0.0000
0.0000 4.4477 0.0000
0.0000 0.0000 9.1802
Si Ac Pt
4 2 2
Cartesian
2.2238 2.2238 4.5901
0.0000 0.0000 4.5901
2.2238 0.0000 8.0356
0.0000 2.2238 1.1446
0.0000 2.2238 7.3112
2.2238 0.0000 1.8690
0.0000 2.2238 3.5068
2.2238 0.0000 5.6734
```

Calculated values
**Total moment**: 0.00 μB/atom
**Crystal system**: tetragonal



Which structure is the least stable? The one labeled B.



--- A ---
A relaxed AcSiPt4 crystal. Source: Alexandria, functional PBE.

POSCAR file:
```
AcSiPt4
1.0
0.4153 -3.0783 5.3525
3.7288 -4.8826 0.7438
6.3991 2.1851 3.7453
Pt Si Ac
8 2 2
Cartesian
2.9438 -4.4552 1.8356
5.8588 -0.3273 4.3405
3.4048 -1.7749 5.0653
5.4833 -3.0997 7.0784
1.2002 -3.5057 4.2607
5.0599 -2.6761 2.7633
7.1384 -4.0010 4.7764
4.6843 -5.4485 5.5011
6.9182 -1.8662 5.7047
3.6249 -3.9097 4.1370
8.4188 -4.6800 7.8853
2.1244 -1.0958 1.9564
```

Calculated values
**Total moment**: 0.00 μB/atom
**Crystal system**: monoclinic



--- B ---
A relaxed AcSiPt4 crystal. Source: Alexandria, functional PBE.

POSCAR file:
```
AcSiPt4
1.0
-2.5793 -2.9864 -0.3709
0.6570 -1.4400 7.0260
-5.9539 4.9473 1.5707
Ac Pt Si
2 8 2
Cartesian
-4.0520 2.8044 5.5991
-1.2449 0.7029 2.9976
0.0000 0.0000 0.0000
-6.6700 2.7035 3.4404
-4.4374 0.8484 2.8514
-2.9769 2.4736 0.7854
-1.2062 -2.1826 4.7855
-3.4387 -0.3275 5.3745
-2.7576 -0.3014 0.4271
-5.1186 0.8224 7.7987
-4.3372 3.4294 2.5492
-0.9597 0.0779 6.0475
```

Calculated values
**Total moment**: 0.00 μB/atom
**Crystal system**: orthorhombic



Which structure is the least stable? The one labeled B.



--- A ---
A relaxed AcSmPt crystal. Source: Alexandria, functional PBE.

POSCAR file:
```
AcSmPt
1.0
5.1528 0.0000 0.0000
2.5764 4.4624 0.0000
2.5764 1.4875 4.2072
Sm Ac Pt
1 1 1
Cartesian
5.1528 2.9750 2.1036
0.0000 0.0000 0.0000
2.5764 1.4875 1.0518
```

Calculated values
**Total moment**: 0.00 μB/atom
**Crystal system**: cubic



--- B ---
A relaxed AcSmPt crystal. Source: Alexandria, functional PBE.

POSCAR file:
```
AcSmPt
1.0
-0.9578 2.4899 3.3727
2.8916 -3.1564 0.4099
4.8331 4.2030 -1.7304
Ac Sm Pt
1 1 1
Cartesian
0.4124 0.3586 -0.1477
4.3462 1.1065 0.4173
2.0083 2.0714 1.7826
```

Calculated values
**Total moment**: 0.00 μB/atom
**Crystal system**: trigonal



--- C ---
A relaxed AcSmPt crystal. Source: Alexandria, functional PBE.

POSCAR file:
```
AcSmPt
1.0
7.2881 0.0000 0.0000
0.0000 6.6894 -1.9462
0.0000 1.8265 8.0881
Ac Pt Sm
4 4 4
Cartesian
3.0219 3.2157 6.6845
0.6221 5.6471 1.6673
6.6660 2.8688 4.4746
4.2662 5.3002 -0.5425
1.7513 0.2971 1.1225
5.3954 3.9609 1.9485
1.8927 4.5550 4.1935
5.5368 8.2188 5.0195
4.2035 6.1229 3.5015
3.0846 2.3930 2.6404
6.7287 1.8650 0.4306
0.5594 6.6509 5.7114
```

Calculated values
**Total moment**: 0.00 μB/atom
**Crystal system**: monoclinic



--- D ---
A relaxed AcSmPt crystal. Source: Alexandria, functional PBE.

POSCAR file:
```
AcSmPt
1.0
-3.3734 -3.3253 2.0984
-1.5787 -1.4848 -4.8909
6.2975 -3.0811 -1.0974
Sm Ac Pt
2 2 2
Cartesian
0.8052 -1.5951 -1.2385
0.5402 -6.2962 -2.6514
3.2291 -4.1025 -1.2596
-1.8837 -3.7888 -2.6302
0.0989 -4.2624 -0.2007
1.2465 -3.6289 -3.6891
```

Calculated values
**Total moment**: 0.00 μB/atom
**Crystal system**: monoclinic



Which structure is the least stable? The one labeled A.



--- A ---
A relaxed AcSm3Pt crystal. Source: Alexandria, functional PBE.

POSCAR file:
```
AcSm3Pt
1.0
7.6495 0.0000 0.0000
0.0000 8.3558 -0.1116
0.0000 -2.9053 10.0674
Sm Pt Ac
12 4 4
Cartesian
3.9147 -0.0360 6.2074
6.6587 5.8560 6.0135
1.5499 3.2240 5.2360
2.2749 4.6767 0.2023
0.0900 4.0339 8.7821
2.8339 -1.8582 8.9760
7.5595 1.4166 1.1737
5.3746 0.7738 9.7535
0.9908 -0.4055 3.9423
6.0996 2.2264 4.7198
3.7347 5.4865 3.7484
4.8155 7.3086 0.9798
5.7794 -2.0907 9.0151
5.6948 -0.6381 3.9814
1.8700 7.5412 0.9407
1.9547 6.0886 5.9744
4.1322 3.4842 7.5186
0.3075 0.5136 7.4709
7.3420 4.9369 2.4849
3.5173 1.9663 2.4372
```

Calculated values
**Total moment**: 0.00 μB/atom
**Crystal system**: monoclinic



--- B ---
A relaxed AcSm3Pt crystal. Source: Alexandria, functional PBE.

POSCAR file:
```
AcSm3Pt
1.0
5.6626 0.0000 0.0000
0.0000 5.6626 0.0000
0.0000 0.0000 5.6626
Sm Pt Ac
3 1 1
Cartesian
0.0000 0.0000 2.8313
0.0000 2.8313 0.0000
2.8313 0.0000 0.0000
0.0000 0.0000 0.0000
2.8313 2.8313 2.8313
```

Calculated values
**Total moment**: 0.00 μB/atom
**Crystal system**: cubic



Which structure is the least stable? The one labeled B.



--- A ---
A relaxed AcSmSnPt crystal. Source: Alexandria, functional PBE.

POSCAR file:
```
AcSmSnPt
1.0
-4.2555 -2.6010 -2.1528
0.6699 -3.1445 -4.3786
-0.3935 -5.3994 0.4478
Sn Pt Ac Sm
1 1 1 1
Cartesian
-0.9948 -2.7862 -1.5209
-2.9843 -8.3587 -4.5627
0.0000 0.0000 0.0000
-1.9895 -5.5725 -3.0418
```

Calculated values
**Total moment**: 0.00 μB/atom
**Crystal system**: cubic



--- B ---
A relaxed AcSmSnPt crystal. Source: Alexandria, functional PBE.

POSCAR file:
```
AcSmSnPt
1.0
4.8991 0.0000 0.0000
0.0000 4.8991 0.0000
0.0000 0.0000 10.5807
Sn Pt Sm Ac
2 2 2 2
Cartesian
0.0000 2.4496 1.1148
2.4496 0.0000 9.4659
2.4496 0.0000 6.8540
0.0000 2.4496 3.7267
2.4496 2.4496 5.2903
0.0000 0.0000 5.2903
2.4496 0.0000 2.1153
0.0000 2.4496 8.4654
```

Calculated values
**Total moment**: 0.00 μB/atom
**Crystal system**: tetragonal



Which structure is the least stable? The one labeled B.



--- A ---
A relaxed Ac2SnPt3 crystal. Source: Alexandria, functional PBE.

POSCAR file:
```
Ac2SnPt3
1.0
-0.5383 -2.3368 -3.5702
4.2213 0.0563 -0.6733
-1.0104 -6.0879 6.7275
Pt Sn Ac
3 1 2
Cartesian
2.6135 -4.3453 2.4501
2.1812 -4.0946 -0.2393
1.9222 -1.8425 -1.6743
2.8751 -6.6202 3.8996
0.2175 -1.8921 1.2057
0.3188 -6.2822 1.4734
```

Calculated values
**Total moment**: 0.00 μB/atom
**Crystal system**: orthorhombic



--- B ---
A relaxed Ac2SnPt3 crystal. Source: Alexandria, functional PBE.

POSCAR file:
```
Ac2SnPt3
1.0
6.2974 -0.1505 0.0000
-0.3949 6.2868 0.0000
-2.9512 -3.0682 7.9639
Ac Pt Sn
4 6 2
Cartesian
4.5113 4.6900 0.0000
3.1487 -0.0752 3.9819
1.3912 1.4463 0.0000
-0.1975 3.1434 3.9819
-1.6788 1.6148 6.6319
0.0000 0.0000 2.6646
1.6788 -1.6148 6.6319
4.6300 1.4534 1.3319
2.9512 3.0682 5.2993
1.2724 4.6830 1.3319
2.9512 3.0682 2.6202
0.0000 0.0000 5.3436
```

Calculated values
**Total moment**: 0.00 μB/atom
**Crystal system**: orthorhombic



Which structure is the least stable? The one labeled B.



--- A ---
A relaxed AcSn2Pt crystal. Source: Alexandria, functional PBE.

POSCAR file:
```
AcSn2Pt
1.0
5.0734 0.0000 0.0000
0.0000 4.5569 0.0000
0.0000 0.0000 4.5569
Ac Sn Pt
1 2 1
Cartesian
2.5367 0.0000 0.0000
0.0000 0.0000 2.2784
0.0000 2.2784 0.0000
2.5367 2.2784 2.2784
```

Calculated values
**Total moment**: 0.00 μB/atom
**Crystal system**: tetragonal



--- B ---
A relaxed AcSn2Pt crystal. Source: Alexandria, functional PBE.

POSCAR file:
```
AcSn2Pt
1.0
-0.6316 -2.8077 3.8433
4.5488 -5.3641 -6.1704
8.4948 3.0417 3.6182
Pt Sn Ac
4 8 4
Cartesian
6.9456 -4.6110 0.7720
11.1001 -3.1234 2.5414
1.3120 -2.0067 -1.2504
5.4664 -0.5191 0.5191
3.3589 -3.8225 -2.2406
2.7349 -0.2167 0.2911
9.0531 -1.3076 3.5316
9.6772 -4.9134 0.9999
6.0243 -2.8681 -1.1053
7.1038 1.1099 1.9782
5.3083 -6.2400 -0.6872
6.3877 -2.2620 2.3963
3.5212 -3.3827 1.1065
-0.3158 -1.4039 1.9216
8.8909 -1.7474 0.1845
3.9316 0.1170 3.7307
```

Calculated values
**Total moment**: 0.00 μB/atom
**Crystal system**: orthorhombic



--- C ---
A relaxed AcSn2Pt crystal. Source: Alexandria, functional PBE.

POSCAR file:
```
AcSn2Pt
1.0
-0.1195 3.4520 1.1587
-3.5242 -0.4013 0.8320
1.9346 -2.3095 7.0803
Pt Ac Sn
1 1 2
Cartesian
-1.8219 1.5254 0.9954
-0.8546 0.3706 4.5355
1.5651 -1.8684 5.7280
0.3695 -0.4411 1.3523
```

Calculated values
**Total moment**: 0.00 μB/atom
**Crystal system**: tetragonal



--- D ---
A relaxed AcSn2Pt crystal. Source: Alexandria, functional PBE.

POSCAR file:
```
AcSn2Pt
1.0
5.5759 0.0000 0.0000
2.7879 4.8288 0.0000
2.7879 1.6096 3.9673
Pt Sn Ac
1 2 1
Cartesian
0.0000 0.0000 0.0000
8.3638 4.8289 2.7400
2.7879 1.6096 1.2273
5.5759 3.2192 1.9836
```

Calculated values
**Total moment**: 0.00 μB/atom
**Crystal system**: trigonal



Which structure is the least stable? The one labeled D.